No. 1
DFT (GGA-PBE) results for Al2CoNiW after structural relaxation.

Density = 7.14 g cm⁻³
Formation enthalpy at 0 K = 3.8 eV per formula unit
E = -29.5 eV for the cell shown
Calculated volume = 82.7 Å³/f.u.

Cell: 4.2516 4.5736 4.2516 Å, 90.00 90.00 90.00°
Closest atoms and distances in Å follow each position.
Sites, in units of the cell vectors:
Ni1 0.0000 0.0000 0.0000  4 Al 2.13, 2 W 2.29
Al1 0.0000 0.0000 0.5000  2 Ni 2.13
Al2 0.5000 0.0000 0.0000  2 Ni 2.13
Co1 0.5000 0.5000 0.5000  4 W 3.01, 8 Al 3.12
W1 0.0000 0.5000 0.0000  2 Ni 2.29

***

No. 2
DFT (GGA-PBE) results for HfZrCoSb2Rh after structural relaxation.

Density = 8.76 g cm⁻³
E = -42.4 eV for the cell shown
Calculated volume = 128.0 Å³/f.u.

Cell: 7.4823 7.4823 7.4823 Å, 35.77 35.77 35.77°
Closest atoms and distances in Å follow each position.
Sites, in units of the cell vectors:
Hf1 0.3991 0.3991 0.3991  3 Rh 2.67
Sb1 0.5490 0.5490 0.5490  3 Co 2.78, 3 Zr 2.81
Rh1 0.7166 0.7166 0.7166  1 Zr 2.54, 3 Hf 2.67
Co1 0.2549 0.2549 0.2549  6 Sb 2.78-3.04, 1 Hf 3.03
Sb2 0.9926 0.9926 0.9926  3 Rh 2.91, 3 Co 3.04, 3 Hf 3.07, 1 Zr 3.25
Zr1 0.8378 0.8378 0.8378  1 Rh 2.54, 3 Sb 2.81

***

No. 3
DFT (GGA-PBE) results for LaPr7Tm2 after structural relaxation.

Density = 5.66 g cm⁻³
Formation enthalpy at 0 K = 6.2 eV per formula unit
E = -41.2 eV for the cell shown
Calculated volume = 429.4 Å³/f.u.

Cell: 5.8536 9.2664 9.2664 Å, 121.32 90.00 90.00°
Closest atoms and distances in Å follow each position.
Sites, in units of the cell vectors:
Pr1 0.5000 0.5000 0.5000  2 Tm 3.29, 4 Pr 3.47
Pr2 0.0000 0.2338 0.7662  2 Tm 3.10
Pr3 0.5000 0.2985 0.0626  2 Tm 3.21-3.32, 2 Pr 3.28-3.47
Pr4 0.5000 0.9374 0.7015  2 Tm 3.21-3.32, 2 Pr 3.28-3.47
Tm1 0.5000 0.2965 0.7035  7 Pr 3.10-3.32
Pr5 0.0000 0.7662 0.2338  2 Tm 3.10
Pr6 0.5000 0.0626 0.2985  2 Tm 3.21-3.32, 2 Pr 3.28-3.47
Tm2 0.5000 0.7035 0.2965  7 Pr 3.10-3.32
Pr7 0.5000 0.7015 0.9374  2 Tm 3.21-3.32, 2 Pr 3.28-3.47
La1 0.0000 0.0000 0.0000  10 Pr 3.78-3.86

***

No. 4
DFT (GGA-PBE) results for KVHg after structural relaxation.

Density = 5.00 g cm⁻³
Formation enthalpy at 0 K = 1.1 eV per formula unit
E = -18.9 eV for the cell shown
Calculated volume = 96.5 Å³/f.u.

Cell: 4.2393 11.9811 4.2403 Å, 97.48 65.98 85.55°
Closest atoms and distances in Å follow each position.
Sites, in units of the cell vectors:
V1 0.6523 0.9135 0.4275  1 V 1.93
Hg1 0.0746 0.7841 0.7214  6 V 2.93-3.01, 1 Hg 3.04
K1 0.5294 0.5866 0.9811  3 Hg 3.41-3.50
V2 0.3814 0.9135 0.1558  1 V 1.93
Hg2 0.9603 0.0429 0.8631  6 V 2.93-3.01, 1 Hg 3.04
K2 0.2406 0.2404 0.3392  3 Hg 3.41-3.50